(1)
Density functional theory data (PBE) for a geometry-optimized Pr5NdEr6 structure.

Space group: No. 71
DOS at the Fermi energy (states/eV/cell): 16.0
DFT formation energy (meV/atom): 18

Cell lengths 5.1499, 10.0371, 9.5422 Å; angles 121.73, 105.66, 89.99 degrees
Sites, in units of the cell vectors:
Er (0.1665, 0.9167, 0.3331)
Er (0.8334, 0.5836, 0.6669)
Er (0.8335, 0.0833, 0.6669)
Er (0.5001, 0.2497, 0.0001)
Er (0.4999, 0.7503, 0.9999)
Er (0.1666, 0.4164, 0.3331)
Pr (0.6667, 0.6667, 0.3335)
Pr (0.0000, 0.5000, 0.0000)
Pr (0.6663, 0.1663, 0.3325)
Pr (0.3333, 0.3333, 0.6665)
Pr (0.3337, 0.8337, 0.6675)
Nd (0.0000, 0.0000, 0.0000)

---

(2)
Density functional theory data (PBE) for a geometry-optimized PrNd6Er structure.

Space group: No. 123
DOS at the Fermi energy (states/eV/cell): 13.5
DFT formation energy (meV/atom): 16

Cell lengths 5.1794, 5.1794, 10.3556 Å; angles 90.00, 90.00, 90.00 degrees
Sites, in units of the cell vectors:
Nd (0.5000, 0.5000, 0.5000)
Nd (0.0000, 0.5000, 0.7468)
Nd (0.5000, 0.5000, 0.0000)
Nd (0.0000, 0.5000, 0.2532)
Nd (0.5000, 0.0000, 0.2532)
Nd (0.5000, 0.0000, 0.7468)
Er (0.0000, 0.0000, 0.5000)
Pr (0.0000, 0.0000, 0.0000)

---

(3)
Density functional theory data (PBE) for a geometry-optimized PrNd3Er3 structure.

Space group: No. 148
DOS at the Fermi energy (states/eV/cell): 20.8
DFT formation energy (meV/atom): 192
Energy above the lowest structure with this stoichiometry (kcal/mol of atoms): 3.83

Cell lengths 8.9521, 8.9521, 8.9521 Å; angles 58.35, 58.35, 58.35 degrees
Sites, in units of the cell vectors:
Er (0.9369, 0.7165, 0.1717)
Er (0.7165, 0.1717, 0.9369)
Er (0.8283, 0.0631, 0.2835)
Er (0.0631, 0.2835, 0.8283)
Er (0.2835, 0.8283, 0.0631)
Er (0.1717, 0.9369, 0.7165)
Nd (0.7197, 0.5667, 0.0711)
Nd (0.0711, 0.7197, 0.5667)
Nd (0.5667, 0.0711, 0.7197)
Nd (0.4333, 0.9289, 0.2803)
Nd (0.2803, 0.4333, 0.9289)
Nd (0.9289, 0.2803, 0.4333)
Pr (0.6553, 0.6553, 0.6553)
Pr (0.3447, 0.3447, 0.3447)

---

(4)
Density functional theory data (PBE) for a geometry-optimized Pr3Nd5Er3 structure.

Space group: No. 189
DOS at the Fermi energy (states/eV/cell): 18.1
DFT formation energy (meV/atom): 309
Energy above the lowest structure with this stoichiometry (kcal/mol of atoms): 0.00

Cell lengths 3.5100, 11.3432, 11.3432 Å; angles 120.00, 90.00, 90.00 degrees
Sites, in units of the cell vectors:
Nd (0.5000, 0.6667, 0.3333)
Nd (0.5000, 0.8380, 0.0000)
Nd (0.5000, 0.0000, 0.8380)
Nd (0.5000, 0.1620, 0.1620)
Nd (0.5000, 0.3333, 0.6667)
Er (0.0000, 0.5936, 0.0000)
Er (0.0000, 0.0000, 0.5936)
Er (0.0000, 0.4064, 0.4064)
Pr (0.5000, 0.6580, 0.6580)
Pr (0.5000, 0.3420, 0.0000)
Pr (0.5000, 0.0000, 0.3420)

---

(5)
Density functional theory data (PBE) for a geometry-optimized Pr7NdEr2 structure.

Space group: No. 65
DOS at the Fermi energy (states/eV/cell): 14.6
DFT formation energy (meV/atom): 624
Energy above the lowest structure with this stoichiometry (kcal/mol of atoms): 13.99

Cell lengths 5.8002, 9.3030, 9.3030 Å; angles 121.88, 90.00, 90.00 degrees
Sites, in units of the cell vectors:
Pr (0.5000, 0.5000, 0.5000)
Pr (0.5000, 0.2964, 0.0639)
Pr (0.5000, 0.9361, 0.7036)
Pr (0.5000, 0.7036, 0.9361)
Pr (0.5000, 0.0639, 0.2964)
Pr (0.0000, 0.7700, 0.2299)
Pr (0.0000, 0.2300, 0.7701)
Er (0.5000, 0.7041, 0.2959)
Er (0.5000, 0.2959, 0.7041)
Nd (0.0000, 0.0000, 0.0000)

---

(6)
Density functional theory data (PBE) for a geometry-optimized PrNd6Er12 structure.

Space group: No. 166
DOS at the Fermi energy (states/eV/cell): 31.7
DFT formation energy (meV/atom): 215
Energy above the lowest structure with this stoichiometry (kcal/mol of atoms): 2.28

Cell lengths 8.7238, 8.7238, 8.7238 Å; angles 98.66, 98.66, 98.66 degrees
Sites, in units of the cell vectors:
Er (0.7560, 0.5000, 0.2440)
Er (0.3558, 0.0809, 0.3558)
Er (0.6442, 0.6442, 0.9191)
Er (0.7560, 0.2440, 0.5000)
Er (0.2440, 0.7560, 0.5000)
Er (0.3558, 0.3558, 0.0809)
Er (0.6442, 0.9191, 0.6442)
Er (0.0809, 0.3558, 0.3558)
Er (0.2440, 0.5000, 0.7560)
Er (0.9191, 0.6442, 0.6442)
Er (0.5000, 0.7560, 0.2440)
Er (0.5000, 0.2440, 0.7560)
Nd (0.3464, 0.9002, 0.9002)
Nd (0.0998, 0.0998, 0.6536)
Nd (0.9002, 0.9002, 0.3464)
Nd (0.6536, 0.0998, 0.0998)
Nd (0.9002, 0.3464, 0.9002)
Nd (0.0998, 0.6536, 0.0998)
Pr (0.0000, 0.0000, 0.0000)

---

(7)
Density functional theory data (PBE) for a geometry-optimized PrNdEr2 structure.

Space group: No. 65
DOS at the Fermi energy (states/eV/cell): 6.5
DFT formation energy (meV/atom): 22
Energy above the lowest structure with this stoichiometry (kcal/mol of atoms): 0.17

Cell lengths 3.6340, 6.1802, 6.1802 Å; angles 107.81, 90.00, 90.00 degrees
Sites, in units of the cell vectors:
Er (0.0000, 0.0000, 0.5000)
Er (0.0000, 0.5000, 0.0000)
Pr (0.5000, 0.0000, 0.0000)
Nd (0.5000, 0.5000, 0.5000)

---

(8)
Density functional theory data (PBE) for a geometry-optimized Pr4Nd5Er4 structure.

Space group: No. 87
DOS at the Fermi energy (states/eV/cell): 18.8
DFT formation energy (meV/atom): 18

Cell lengths 5.1338, 9.6403, 9.6403 Å; angles 85.93, 74.56, 74.56 degrees
Sites, in units of the cell vectors:
Pr (0.6177, 0.3046, 0.4599)
Pr (0.9223, 0.4599, 0.6954)
Pr (0.0777, 0.5401, 0.3046)
Pr (0.3823, 0.6954, 0.5401)
Nd (0.0000, 0.0000, 0.0000)
Nd (0.4591, 0.2319, 0.8499)
Nd (0.6910, 0.8499, 0.7681)
Nd (0.3090, 0.1501, 0.2319)
Nd (0.5409, 0.7681, 0.1501)
Er (0.8456, 0.9228, 0.3859)
Er (0.2316, 0.6141, 0.9228)
Er (0.1544, 0.0772, 0.6141)
Er (0.7684, 0.3859, 0.0772)